1.
# PBE-GGA ErCrTc, optimized geometry
# spin magnetization	0.2289	μB/atom
# E_tot	-7.847	eV per atom
data_ErCrTc
_chemical_formula_sum 'Er8 Cr8 Tc8'
_cell_length_a 5.241
_cell_length_b 8.358
_cell_length_c 9.480
_cell_angle_alpha 90.00
_cell_angle_beta 90.00
_cell_angle_gamma 90.00
_space_group_name_H-M_alt 'F m m m'
_space_group_IT_number 69
_space_group_name_Hall '-F 2 2'
loop_
_atom_site_label
_atom_site_fract_x
_atom_site_fract_y
_atom_site_fract_z
Er1 0.000 0.169 0.000
Cr1 0.250 0.250 0.250
Tc1 0.000 0.000 0.335

=====

2.
# PBE-GGA ErCr3Tc3, optimized geometry
# spin magnetization	0.3915	μB/atom
# E_tot	-8.259	eV per atom
data_ErCr3Tc3
_chemical_formula_sum 'Er2 Cr6 Tc6'
_cell_length_a 6.515
_cell_length_b 6.515
_cell_length_c 6.515
_cell_angle_alpha 90.00
_cell_angle_beta 90.00
_cell_angle_gamma 90.00
_space_group_name_H-M_alt 'P m -3 n'
_space_group_IT_number 223
_space_group_name_Hall '-P 4n 2 3'
loop_
_atom_site_label
_atom_site_fract_x
_atom_site_fract_y
_atom_site_fract_z
Er1 0.000 0.000 0.000
Cr1 0.000 0.250 0.500
Tc1 0.000 0.500 0.250

=====

3.
# PBE-GGA ErThCrTc, optimized geometry
# spin magnetization	0.8239	μB/atom
# E_tot	-7.873	eV per atom
data_ErThCrTc
_chemical_formula_sum 'Er4 Th4 Cr4 Tc4'
_cell_length_a 7.040
_cell_length_b 7.040
_cell_length_c 7.040
_cell_angle_alpha 90.00
_cell_angle_beta 90.00
_cell_angle_gamma 90.00
_space_group_name_H-M_alt 'F -4 3 m'
_space_group_IT_number 216
_space_group_name_Hall 'F -4 2 3'
loop_
_atom_site_label
_atom_site_fract_x
_atom_site_fract_y
_atom_site_fract_z
Er1 0.000 0.000 0.000
Th1 0.000 0.000 0.500
Cr1 0.250 0.250 0.750
Tc1 0.250 0.250 0.250

=====

no.,DFT formation energy (eV per atom),ρ (g/cm3)
1,0.34,10.149
2,0.96,7.414
3,0.12,10.456